Record 1
First-principles (PBE) data for a geometry-optimized HfMoAs2 structure, as listed in Alexandria via LeMat-Bulk.

Lattice parameters (Å, degrees): 6.4551 6.4551 6.4551 90.00 90.00 90.00
Fractional coordinates of all 16 atoms:
Hf1 0.0000 0.0000 0.0000
Hf2 0.0000 0.5000 0.5000
Hf3 0.5000 0.0000 0.5000
Hf4 0.5000 0.5000 0.0000
Mo1 0.0000 0.0000 0.5000
Mo2 0.0000 0.5000 0.0000
Mo3 0.5000 0.0000 0.0000
Mo4 0.5000 0.5000 0.5000
As1 0.2500 0.2500 0.2500
As2 0.2500 0.2500 0.7500
As3 0.2500 0.7500 0.2500
As4 0.2500 0.7500 0.7500
As5 0.7500 0.2500 0.2500
As6 0.7500 0.2500 0.7500
As7 0.7500 0.7500 0.2500
As8 0.7500 0.7500 0.7500

Results
**Crystal system**: cubic
**Total energy**: -0.2916 Ha/atom
**Total magnetic moment**: 0.0 μB per cell

Record 2
First-principles (PBE) data for a geometry-optimized PmGdCd2 structure, as listed in Alexandria via LeMat-Bulk.

Lattice parameters (Å, degrees): 7.6075 7.6075 7.6075 90.00 90.00 90.00
Fractional coordinates of all 16 atoms:
Pm1 0.0000 0.0000 0.0000
Pm2 0.0000 0.5000 0.5000
Pm3 0.5000 0.0000 0.5000
Pm4 0.5000 0.5000 0.0000
Gd1 0.0000 0.0000 0.5000
Gd2 0.0000 0.5000 0.0000
Gd3 0.5000 0.0000 0.0000
Gd4 0.5000 0.5000 0.5000
Cd1 0.2500 0.2500 0.2500
Cd2 0.2500 0.2500 0.7500
Cd3 0.2500 0.7500 0.2500
Cd4 0.2500 0.7500 0.7500
Cd5 0.7500 0.2500 0.2500
Cd6 0.7500 0.2500 0.7500
Cd7 0.7500 0.7500 0.2500
Cd8 0.7500 0.7500 0.7500

Results
**Crystal system**: cubic
**Total energy**: -0.2023 Ha/atom
**Total magnetic moment**: 32.0 μB per cell

Record 3
First-principles (PBE) data for a geometry-optimized La2ZrAs structure, as listed in Alexandria via LeMat-Bulk.

Lattice parameters (Å, degrees): 4.5891 4.6142 9.8876 90.00 90.00 90.00
Fractional coordinates of all 8 atoms:
La1 0.0000 0.0000 0.2436
La2 0.0000 0.0000 0.7564
La3 0.5000 0.5000 0.2564
La4 0.5000 0.5000 0.7436
Zr1 0.0000 0.5000 0.5000
Zr2 0.5000 0.0000 0.0000
As1 0.0000 0.5000 0.0000
As2 0.5000 0.0000 0.5000

Results
**Crystal system**: orthorhombic
**Total energy**: -0.2207 Ha/atom
**Total magnetic moment**: 0.0 μB per cell

Record 4
First-principles (PBE) data for a geometry-optimized ZrTe2Os structure, as listed in Alexandria via LeMat-Bulk.

Lattice parameters (Å, degrees): 7.8359 3.7098 6.3370 90.00 104.93 90.00
Fractional coordinates of all 8 atoms:
Zr1 0.0000 0.0000 0.0000
Zr2 0.5000 0.5000 0.0000
Te1 0.2386 0.0000 0.7145
Te2 0.2614 0.5000 0.2855
Te3 0.7386 0.5000 0.7145
Te4 0.7614 0.0000 0.2855
Os1 0.0000 0.5000 0.5000
Os2 0.5000 0.0000 0.5000

Results
**Crystal system**: monoclinic
**Formation energy from raw total energies**: 226 meV per atom
**Total magnetic moment**: 0.0 μB per cell